## P
KSn3Hg | GGA-PBE | optimized geometry

Computed properties:
space group = Cm, No. 8

Unit cell a=4.8194 b=5.4153 c=7.0453 alpha=67.45 beta=70.05 gamma=90.05
Fractional positions:
K (0.4029, 0.2060, 0.9001)
Sn (0.6613, 0.9659, 0.3810)
Sn (0.1378, 0.4403, 0.4313)
Sn (0.7857, 0.5888, 0.1348)
Hg (0.0199, 0.8241, 0.6638)

=====

## Q
KSn3Hg | GGA-PBE | optimized geometry

Computed properties:
space group = Pm-3m, No. 221

Unit cell a=6.0116 b=6.0116 c=6.0116 alpha=90.00 beta=90.00 gamma=90.00
Fractional positions:
K (0.0000, 0.0000, 0.0000)
Hg (0.5000, 0.5000, 0.5000)
Sn (0.0000, 0.5000, 0.0000)
Sn (0.0000, 0.0000, 0.5000)
Sn (0.5000, 0.0000, 0.0000)

=====

## R
KSn3Hg | GGA-PBE | optimized geometry

Computed properties:
space group = Pmn2_1, No. 31

Unit cell a=6.8254 b=6.8174 c=6.7107 alpha=90.01 beta=89.98 gamma=90.00
Fractional positions:
K (0.4774, 0.4343, 0.7007)
K (0.9772, 0.9189, 0.2008)
Sn (0.3309, 0.2816, 0.2008)
Sn (0.4720, 0.9270, 0.9478)
Sn (0.9721, 0.4254, 0.4477)
Sn (0.8307, 0.0712, 0.7010)
Sn (0.9722, 0.4255, 0.9538)
Sn (0.4721, 0.9271, 0.4538)
Hg (0.1256, 0.7688, 0.7006)
Hg (0.6259, 0.5840, 0.2007)

=====

On energetic grounds, P is preferred over the next structure by 5.1 kJ/mol of atoms.

=====

## P
KSr3Hg | GGA-PBE | optimized geometry

Computed properties:
space group = Pm-3m, No. 221

Unit cell a=7.2779 b=7.2779 c=7.2779 alpha=90.00 beta=90.00 gamma=90.00
Fractional positions:
Sr (0.0000, 0.5000, 0.0000)
Sr (0.0000, 0.0000, 0.5000)
Sr (0.5000, 0.0000, 0.0000)
K (0.0000, 0.0000, 0.0000)
Hg (0.5000, 0.5000, 0.5000)

=====

## Q
KSr3Hg | GGA-PBE | optimized geometry

Computed properties:
space group = Pm-3m, No. 221

Unit cell a=6.4496 b=6.4496 c=6.4496 alpha=90.00 beta=90.00 gamma=90.00
Fractional positions:
Sr (0.0000, 0.5000, 0.0000)
Sr (0.0000, 0.0000, 0.5000)
Sr (0.5000, 0.0000, 0.0000)
K (0.5000, 0.5000, 0.5000)
Hg (0.0000, 0.0000, 0.0000)

=====

On energetic grounds, Q is preferred over the next structure by 76.9 kJ/mol of atoms.